The following is a PBE-GGA calculation of a geometry-optimized Pa3H5O12 structure, from Alexandria via LeMat-Bulk.

Cell lengths 10.0604, 10.0604, 10.0604 Å; angles 109.47, 109.47, 109.47 degrees
Element x y z (fractional)
Pa 0.1250 0.2500 0.3750
Pa 0.1250 0.3750 0.7500
Pa 0.2500 0.3750 0.1250
Pa 0.2500 0.8750 0.6250
Pa 0.3750 0.1250 0.2500
Pa 0.3750 0.7500 0.1250
Pa 0.6250 0.2500 0.8750
Pa 0.6250 0.8750 0.7500
Pa 0.7500 0.1250 0.3750
Pa 0.7500 0.6250 0.8750
Pa 0.8750 0.6250 0.2500
Pa 0.8750 0.7500 0.6250
H 0.0000 0.0000 0.0000
H 0.0000 0.0000 0.5000
H 0.0000 0.5000 0.0000
H 0.0000 0.5000 0.5000
H 0.1250 0.7500 0.8750
H 0.1250 0.8750 0.2500
H 0.2500 0.1250 0.8750
H 0.2500 0.6250 0.3750
H 0.3750 0.2500 0.6250
H 0.3750 0.6250 0.7500
H 0.5000 0.0000 0.0000
H 0.5000 0.0000 0.5000
H 0.5000 0.5000 0.0000
H 0.5000 0.5000 0.5000
H 0.6250 0.3750 0.2500
H 0.6250 0.7500 0.3750
H 0.7500 0.3750 0.6250
H 0.7500 0.8750 0.1250
H 0.8750 0.1250 0.7500
H 0.8750 0.2500 0.1250
O 0.0249 0.2123 0.1236
O 0.0249 0.3126 0.9014
O 0.0887 0.7123 0.6874
O 0.0887 0.8764 0.4014
O 0.0986 0.6236 0.4113
O 0.0986 0.9751 0.6874
O 0.1236 0.0249 0.2123
O 0.1236 0.5986 0.9113
O 0.1874 0.2123 0.5887
O 0.1874 0.4751 0.5986
O 0.2123 0.1236 0.0249
O 0.2123 0.5887 0.1874
O 0.2877 0.3126 0.9113
O 0.2877 0.4751 0.3764
O 0.3126 0.9014 0.0249
O 0.3126 0.9113 0.2877
O 0.3764 0.2877 0.4751
O 0.3764 0.5887 0.9014
O 0.4014 0.0887 0.8764
O 0.4014 0.8126 0.5249
O 0.4113 0.0986 0.6236
O 0.4113 0.8126 0.7877
O 0.4751 0.3764 0.2877
O 0.4751 0.5986 0.1874
O 0.5249 0.4014 0.8126
O 0.5249 0.6236 0.7123
O 0.5887 0.1874 0.2123
O 0.5887 0.9014 0.3764
O 0.5986 0.1874 0.4751
O 0.5986 0.9113 0.1236
O 0.6236 0.4113 0.0986
O 0.6236 0.7123 0.5249
O 0.6874 0.0887 0.7123
O 0.6874 0.0986 0.9751
O 0.7123 0.5249 0.6236
O 0.7123 0.6874 0.0887
O 0.7877 0.4113 0.8126
O 0.7877 0.8764 0.9751
O 0.8126 0.5249 0.4014
O 0.8126 0.7877 0.4113
O 0.8764 0.4014 0.0887
O 0.8764 0.9751 0.7877
O 0.9014 0.0249 0.3126
O 0.9014 0.3764 0.5887
O 0.9113 0.1236 0.5986
O 0.9113 0.2877 0.3126
O 0.9751 0.6874 0.0986
O 0.9751 0.7877 0.8764

## Properties
The space group is Ia-3d. Its total energy is -6.575 eV/atom.

The following is a PBE-GGA calculation of a geometry-optimized HgSeCl2 structure, from Alexandria via LeMat-Bulk.

Cell lengths 3.2269, 3.2269, 11.0394 Å; angles 90.00, 90.00, 90.00 degrees
Element x y z (fractional)
Hg 0.0000 0.0000 0.0000
Se 0.0000 0.0000 0.5000
Cl 0.5000 0.5000 0.1535
Cl 0.5000 0.5000 0.8465

## Properties
The space group is P4/mmm. Its total energy is -1.688 eV/atom. Its uncorrected formation energy is 0.182 eV/atom.

The following is a PBE-GGA calculation of a geometry-optimized V2FeRh structure, from Alexandria via LeMat-Bulk.

Cell lengths 5.3044, 5.3044, 5.3044 Å; angles 103.33, 103.33, 122.60 degrees
Element x y z (fractional)
V 0.1126 0.6250 0.9876
V 0.3750 0.3626 0.4876
V 0.6374 0.1250 0.0124
V 0.8750 0.8874 0.5124
Fe 0.0000 0.0000 0.0000
Fe 0.7500 0.2500 0.5000
Rh 0.2500 0.7500 0.5000
Rh 0.5000 0.5000 0.0000

## Properties
The space group is I-42d. Its total energy is -8.220 eV/atom. For the formation energy, the calculation gives 0.29 eV per atom.

The following is a PBE-GGA calculation of a geometry-optimized Pr4NdDy7 structure, from Alexandria via LeMat-Bulk.

Cell lengths 6.7862, 6.7862, 12.9006 Å; angles 114.86, 114.86, 52.12 degrees
Element x y z (fractional)
Pr 0.1355 0.1355 0.2769
Pr 0.2745 0.2745 0.8317
Pr 0.7255 0.7255 0.1683
Pr 0.8645 0.8645 0.7231
Nd 0.5000 0.5000 0.5000
Dy 0.0000 0.0000 0.5000
Dy 0.1321 0.1321 0.9961
Dy 0.2893 0.2893 0.5770
Dy 0.4312 0.4312 0.1840
Dy 0.5688 0.5688 0.8160
Dy 0.7107 0.7107 0.4230
Dy 0.8679 0.8679 0.0039

## Properties
The space group is C2/m. Its total energy is -4.427 eV/atom. For the formation energy, the calculation gives 0.25 eV per atom.